(1)
DFT (GGA-PBE) results for CuTcOs2F after structural relaxation.

Results
energy relative to the elements, uncorrected: 2.22 eV per atom
SG: P4/mmm (123)
mass density: 9969 kg/m³
N(E_F): 7.2 states/eV/f.u.
spin magnetization: 1.130 μB per atom

```
CuTcOs2F
1.0
4.5029 0.0000 0.0000
0.0000 4.5029 0.0000
0.0000 0.0000 4.6085
Cu Tc Os F
1 1 2 1
Direct
0.0000 0.0000 0.0000
0.0000 0.0000 0.5000
0.0000 0.5000 0.0000
0.5000 0.0000 0.0000
0.5000 0.5000 0.5000
```

***

(2)
DFT (GGA-PBE) results for Zr2CuOsF after structural relaxation.

Results
energy relative to the elements, uncorrected: 0.72 eV per atom
SG: P4/mmm (123)
mass density: 7068 kg/m³
N(E_F): 4.9 states/eV/f.u.
spin magnetization: 0.000 μB per atom

```
Zr2CuOsF
1.0
4.9112 0.0000 0.0000
0.0000 4.9112 0.0000
0.0000 0.0000 4.4339
Zr Cu Os F
2 1 1 1
Direct
0.0000 0.5000 0.0000
0.5000 0.0000 0.0000
0.0000 0.0000 0.0000
0.0000 0.0000 0.5000
0.5000 0.5000 0.5000
```